[1]
VASP calculation (PBE) on NaAcAg after structural relaxation.

The value obtained for the total energy is -2.67 eV per atom. The calculation puts the theoretical density at 5.645 g/cm3. Its space-group type is P3m1, No. 156. The value obtained for the energy above the most stable polymorph in this dataset is 182 meV/atom. The value obtained for the density of states at the Fermi level is 2.0 states/eV per cell. The value obtained for the formation energy from the elements is 0.0942 eV/atom.

abc: 3.9124 3.9124 7.9403
angles: 90.00 90.00 120.00
Fractional positions:
Na 0.0000 0.0000 0.0000
Ac 0.6667 0.3333 0.4322
Ag 0.3333 0.6667 0.7248

[2]
VASP calculation (PBE) on NaAcAg2 after structural relaxation.

The value obtained for the total energy is -2.87 eV per atom. The calculation puts the theoretical density at 6.891 g/cm3. Its space-group type is P4/mmm, No. 123. The value obtained for the density of states at the Fermi level is 2.6 states/eV per cell. The value obtained for the formation energy from the elements is -0.0871 eV/atom.

abc: 5.4770 5.4770 3.7414
angles: 90.00 90.00 90.00
Fractional positions:
Na 0.0000 0.0000 0.0000
Ac 0.5000 0.5000 0.0000
Ag 0.0000 0.5000 0.5000
Ag 0.5000 0.0000 0.5000

[3]
VASP calculation (PBE) on Na3AcAg3 after structural relaxation.

The value obtained for the total energy is -2.00 eV per atom. The calculation puts the theoretical density at 4.529 g/cm3. Its space-group type is Pm-3n, No. 223. The value obtained for the density of states at the Fermi level is 6.7 states/eV per cell. The value obtained for the formation energy from the elements is 0.3791 eV/atom.

abc: 7.6875 7.6875 7.6875
angles: 90.00 90.00 90.00
Fractional positions:
Na 0.0000 0.2500 0.5000
Na 0.0000 0.7500 0.5000
Na 0.2500 0.5000 0.0000
Na 0.5000 0.0000 0.2500
Na 0.5000 0.0000 0.7500
Na 0.7500 0.5000 0.0000
Ac 0.0000 0.0000 0.0000
Ac 0.5000 0.5000 0.5000
Ag 0.0000 0.5000 0.2500
Ag 0.0000 0.5000 0.7500
Ag 0.2500 0.0000 0.5000
Ag 0.5000 0.2500 0.0000
Ag 0.5000 0.7500 0.0000
Ag 0.7500 0.0000 0.5000

[4]
VASP calculation (PBE) on NaAc2Ag9 after structural relaxation.

The value obtained for the total energy is -3.04 eV per atom. The calculation puts the theoretical density at 8.619 g/cm3. Its space-group type is R-3m, No. 166. The value obtained for the density of states at the Fermi level is 4.7 states/eV per cell. The value obtained for the formation energy from the elements is -0.1051 eV/atom.

abc: 10.0626 10.0626 10.0626
angles: 33.67 33.67 33.67
Fractional positions:
Na 0.0000 0.0000 0.0000
Ac 0.1388 0.1388 0.1388
Ac 0.8612 0.8612 0.8612
Ag 0.0798 0.5828 0.5828
Ag 0.3332 0.3332 0.3332
Ag 0.4172 0.4172 0.9202
Ag 0.4172 0.9202 0.4172
Ag 0.5000 0.5000 0.5000
Ag 0.5828 0.0798 0.5828
Ag 0.5828 0.5828 0.0798
Ag 0.6668 0.6668 0.6668
Ag 0.9202 0.4172 0.4172

The highest theoretical density belongs to which entry?
NaAc2Ag9